The following is a DFT calculation (PBE) of crystalline Nd2HoTmS6 at its relaxed geometry.

Computed properties:
Formation energy without anion corrections, eV per atom: -2.04

Cell lengths 7.0265, 7.0265, 18.5022 Å; angles 90.00, 90.00, 120.00 degrees
Closest atoms and distances in Å follow each position.
Space group R3 (No. 146, hexagonal axes)
Unique sites:
Nd  0.0000  0.0000  0.0000 [3 per cell]  6 S 2.81-2.91
Nd  0.0000  0.0000  0.4995 [3 per cell]  6 S 2.82-2.91
Ho  0.0000  0.0000  0.2059 [3 per cell]  6 S 2.70-2.76
Tm  0.0000  0.0000  0.7052 [3 per cell]  6 S 2.68-2.74
S  0.0484  0.3557  0.7754 [9 per cell]  1 Tm 2.68, 1 Ho 2.76, 2 Nd 2.82-2.91
S  0.0495  0.6902  0.2758 [9 per cell]  1 Ho 2.70, 1 Tm 2.74, 2 Nd 2.81-2.91

The following is a DFT calculation (PBE) of crystalline Hf2Ag2Sb at its relaxed geometry.

Computed properties:
Energy above the lowest structure with this stoichiometry, meV per atom: 0.0
Formation energy without anion corrections, eV per atom: 0.08

Cell lengths 7.1085, 7.1085, 4.1484 Å; angles 90.00, 90.00, 90.00 degrees
Closest atoms and distances in Å follow each position.
Space group P4/mbm (No. 127)
Unique sites:
Hf  0.1632  0.3368  0.0000 [4 per cell]  6 Ag 2.92-2.96
Ag  0.1320  0.6320  0.5000 [4 per cell]  1 Ag 2.65, 2 Sb 2.78, 6 Hf 2.92-2.96
Sb  0.0000  0.0000  0.5000 [2 per cell]  4 Ag 2.78

The following is a DFT calculation (PBE) of crystalline ZrCr2Cl at its relaxed geometry.

Computed properties:
Energy above the lowest structure with this stoichiometry, meV per atom: 578.3
Formation energy without anion corrections, eV per atom: 0.46

Cell lengths 5.0858, 10.0274, 2.9939 Å; angles 90.00, 125.68, 90.00 degrees
Closest atoms and distances in Å follow each position.
Space group C2/m (No. 12)
Unique sites:
Zr  0.0000  0.0000  0.0000 [2 per cell]  4 Cl 2.54-2.56, 4 Cr 2.81
Cr  0.2500  0.2500  0.5000 [4 per cell]  4 Cr 2.54-2.56, 2 Cl 2.81, 2 Zr 2.81
Cl  0.0000  0.5000  0.0000 [2 per cell]  4 Zr 2.54-2.56, 4 Cr 2.81

The following is a DFT calculation (PBE) of crystalline GdTm2S at its relaxed geometry.

Computed properties:
Formation energy without anion corrections, eV per atom: -0.73

Cell lengths 3.6007, 3.6007, 29.8311 Å; angles 90.00, 90.00, 120.00 degrees
Closest atoms and distances in Å follow each position.
Space group R-3m (No. 166, hexagonal axes)
Unique sites:
Gd  0.0000  0.0000  0.0000 [3 per cell]  2 Tm 3.33, 6 Gd 3.60
Tm  0.0000  0.0000  0.1117 [6 per cell]  3 S 2.65
S  0.0000  0.0000  0.5000 [3 per cell]  6 Tm 2.65

The following is a DFT calculation (PBE) of crystalline Fe8Co2Ni at its relaxed geometry.

Computed properties:
Energy relative to the elements, eV per atom: -0.01

Cell lengths 14.5496, 2.8621, 6.3720 Å; angles 90.00, 105.51, 90.00 degrees
Closest atoms and distances in Å follow each position.
Space group C2/m (No. 12)
Unique sites:
Fe  0.0456  0.0000  0.2257 [4 per cell]  6 Fe 2.47, 2 Ni 2.48
Fe  0.0916  0.5000  0.9543 [4 per cell]  2 Co 2.47, 6 Fe 2.47
Fe  0.1379  0.0000  0.6836 [4 per cell]  2 Co 2.45, 4 Fe 2.47-2.48, 2 Ni 2.49
Fe  0.1818  0.5000  0.4068 [4 per cell]  2 Co 2.46, 6 Fe 2.47-2.48
Co  0.2277  0.0000  0.1375 [4 per cell]  6 Fe 2.45-2.47, 2 Co 2.48
Ni  0.0000  0.5000  0.5000 [2 per cell]  8 Fe 2.48-2.49

The following is a DFT calculation (PBE) of crystalline Zn2OsPb at its relaxed geometry.

Computed properties:
Energy relative to the elements, eV per atom: 0.68

Cell lengths 6.5558, 6.5558, 6.5558 Å; angles 90.00, 90.00, 90.00 degrees
Closest atoms and distances in Å follow each position.
Space group F-43m (No. 216)
Unique sites:
Zn  0.0000  0.0000  0.0000 [4 per cell]  4 Pb 2.84, 4 Zn 2.84
Zn  0.2500  0.2500  0.2500 [4 per cell]  4 Os 2.84, 4 Zn 2.84
Os  0.0000  0.0000  0.5000 [4 per cell]  4 Pb 2.84, 4 Zn 2.84
Pb  0.2500  0.2500  0.7500 [4 per cell]  4 Os 2.84, 4 Zn 2.84